1.
DFT (GGA-PBE) results for a relaxed NbFeSb2 crystal.

Computed properties:
symmetry: F-43m
crystal system: cubic

a b c (Å): 6.8201 6.8201 6.8201
angles (deg): 90.00 90.00 90.00
Last column: nearest neighbours and their distance in Å.
Element x y z (fractional)
Nb  0.0000  0.0000  0.0000  4 Fe 2.95, 4 Sb 2.95
Nb  0.0000  0.5000  0.5000  4 Fe 2.95, 4 Sb 2.95
Nb  0.5000  0.0000  0.5000  4 Fe 2.95, 4 Sb 2.95
Nb  0.5000  0.5000  0.0000  4 Fe 2.95, 4 Sb 2.95
Fe  0.2500  0.2500  0.2500  4 Nb 2.95, 4 Sb 2.95
Fe  0.2500  0.7500  0.7500  4 Nb 2.95, 4 Sb 2.95
Fe  0.7500  0.2500  0.7500  4 Nb 2.95, 4 Sb 2.95
Fe  0.7500  0.7500  0.2500  4 Nb 2.95, 4 Sb 2.95
Sb  0.0000  0.0000  0.5000  4 Fe 2.95, 4 Sb 2.95
Sb  0.0000  0.5000  0.0000  4 Fe 2.95, 4 Sb 2.95
Sb  0.2500  0.2500  0.7500  4 Nb 2.95, 4 Sb 2.95
Sb  0.2500  0.7500  0.2500  4 Nb 2.95, 4 Sb 2.95
Sb  0.5000  0.0000  0.0000  4 Fe 2.95, 4 Sb 2.95
Sb  0.5000  0.5000  0.5000  4 Fe 2.95, 4 Sb 2.95
Sb  0.7500  0.2500  0.2500  4 Nb 2.95, 4 Sb 2.95
Sb  0.7500  0.7500  0.7500  4 Nb 2.95, 4 Sb 2.95

2.
DFT (GGA-PBE) results for a relaxed ScNbFeSb crystal.

Computed properties:
symmetry: F-43m
crystal system: cubic

a b c (Å): 6.5309 6.5309 6.5309
angles (deg): 90.00 90.00 90.00
Last column: nearest neighbours and their distance in Å.
Element x y z (fractional)
Sc  0.0000  0.0000  0.0000  4 Nb 2.83, 4 Fe 2.83
Sc  0.0000  0.5000  0.5000  4 Nb 2.83, 4 Fe 2.83
Sc  0.5000  0.0000  0.5000  4 Nb 2.83, 4 Fe 2.83
Sc  0.5000  0.5000  0.0000  4 Nb 2.83, 4 Fe 2.83
Nb  0.2500  0.2500  0.2500  4 Sc 2.83, 4 Sb 2.83
Nb  0.2500  0.7500  0.7500  4 Sc 2.83, 4 Sb 2.83
Nb  0.7500  0.2500  0.7500  4 Sc 2.83, 4 Sb 2.83
Nb  0.7500  0.7500  0.2500  4 Sc 2.83, 4 Sb 2.83
Fe  0.2500  0.2500  0.7500  4 Sb 2.83, 4 Sc 2.83
Fe  0.2500  0.7500  0.2500  4 Sb 2.83, 4 Sc 2.83
Fe  0.7500  0.2500  0.2500  4 Sb 2.83, 4 Sc 2.83
Fe  0.7500  0.7500  0.7500  4 Sb 2.83, 4 Sc 2.83
Sb  0.0000  0.0000  0.5000  4 Nb 2.83, 4 Fe 2.83
Sb  0.0000  0.5000  0.0000  4 Nb 2.83, 4 Fe 2.83
Sb  0.5000  0.0000  0.0000  4 Nb 2.83, 4 Fe 2.83
Sb  0.5000  0.5000  0.5000  4 Nb 2.83, 4 Fe 2.83

3.
DFT (GGA-PBE) results for a relaxed NbFeTcSb crystal.

Computed properties:
symmetry: F-43m
crystal system: cubic

a b c (Å): 6.3218 6.3218 6.3218
angles (deg): 90.00 90.00 90.00
Last column: nearest neighbours and their distance in Å.
Element x y z (fractional)
Nb  0.0000  0.0000  0.0000  4 Fe 2.74, 4 Tc 2.74
Nb  0.0000  0.5000  0.5000  4 Fe 2.74, 4 Tc 2.74
Nb  0.5000  0.0000  0.5000  4 Fe 2.74, 4 Tc 2.74
Nb  0.5000  0.5000  0.0000  4 Fe 2.74, 4 Tc 2.74
Fe  0.2500  0.2500  0.7500  4 Nb 2.74, 4 Sb 2.74
Fe  0.2500  0.7500  0.2500  4 Nb 2.74, 4 Sb 2.74
Fe  0.7500  0.2500  0.2500  4 Nb 2.74, 4 Sb 2.74
Fe  0.7500  0.7500  0.7500  4 Nb 2.74, 4 Sb 2.74
Tc  0.2500  0.2500  0.2500  4 Nb 2.74, 4 Sb 2.74
Tc  0.2500  0.7500  0.7500  4 Nb 2.74, 4 Sb 2.74
Tc  0.7500  0.2500  0.7500  4 Nb 2.74, 4 Sb 2.74
Tc  0.7500  0.7500  0.2500  4 Nb 2.74, 4 Sb 2.74
Sb  0.0000  0.0000  0.5000  4 Fe 2.74, 4 Tc 2.74
Sb  0.0000  0.5000  0.0000  4 Fe 2.74, 4 Tc 2.74
Sb  0.5000  0.0000  0.0000  4 Fe 2.74, 4 Tc 2.74
Sb  0.5000  0.5000  0.5000  4 Fe 2.74, 4 Tc 2.74

4.
DFT (GGA-PBE) results for a relaxed NbFeSbW crystal.

Computed properties:
symmetry: F-43m
crystal system: cubic

a b c (Å): 6.3716 6.3716 6.3716
angles (deg): 90.00 90.00 90.00
Last column: nearest neighbours and their distance in Å.
Element x y z (fractional)
Nb  0.0000  0.0000  0.0000  4 W 2.76, 4 Fe 2.76
Nb  0.0000  0.5000  0.5000  4 W 2.76, 4 Fe 2.76
Nb  0.5000  0.0000  0.5000  4 W 2.76, 4 Fe 2.76
Nb  0.5000  0.5000  0.0000  4 W 2.76, 4 Fe 2.76
Fe  0.2500  0.2500  0.7500  4 Nb 2.76, 4 Sb 2.76
Fe  0.2500  0.7500  0.2500  4 Nb 2.76, 4 Sb 2.76
Fe  0.7500  0.2500  0.2500  4 Nb 2.76, 4 Sb 2.76
Fe  0.7500  0.7500  0.7500  4 Sb 2.76, 4 Nb 2.76
Sb  0.0000  0.0000  0.5000  4 W 2.76, 4 Fe 2.76
Sb  0.0000  0.5000  0.0000  4 W 2.76, 4 Fe 2.76
Sb  0.5000  0.0000  0.0000  4 W 2.76, 4 Fe 2.76
Sb  0.5000  0.5000  0.5000  4 W 2.76, 4 Fe 2.76
W  0.2500  0.2500  0.2500  4 Nb 2.76, 4 Sb 2.76
W  0.2500  0.7500  0.7500  4 Nb 2.76, 4 Sb 2.76
W  0.7500  0.2500  0.7500  4 Nb 2.76, 4 Sb 2.76
W  0.7500  0.7500  0.2500  4 Nb 2.76, 4 Sb 2.76

5.
DFT (GGA-PBE) results for a relaxed NbZnFeSb crystal.

Computed properties:
symmetry: F-43m
crystal system: cubic

a b c (Å): 6.4049 6.4049 6.4049
angles (deg): 90.00 90.00 90.00
Last column: nearest neighbours and their distance in Å.
Element x y z (fractional)
Nb  0.0000  0.0000  0.0000  4 Zn 2.77, 4 Sb 2.77
Nb  0.0000  0.5000  0.5000  4 Zn 2.77, 4 Sb 2.77
Nb  0.5000  0.0000  0.5000  4 Zn 2.77, 4 Sb 2.77
Nb  0.5000  0.5000  0.0000  4 Zn 2.77, 4 Sb 2.77
Zn  0.2500  0.2500  0.7500  4 Nb 2.77, 4 Fe 2.77
Zn  0.2500  0.7500  0.2500  4 Fe 2.77, 4 Nb 2.77
Zn  0.7500  0.2500  0.2500  4 Fe 2.77, 4 Nb 2.77
Zn  0.7500  0.7500  0.7500  4 Fe 2.77, 4 Nb 2.77
Fe  0.0000  0.0000  0.5000  4 Sb 2.77, 4 Zn 2.77
Fe  0.0000  0.5000  0.0000  4 Sb 2.77, 4 Zn 2.77
Fe  0.5000  0.0000  0.0000  4 Sb 2.77, 4 Zn 2.77
Fe  0.5000  0.5000  0.5000  4 Sb 2.77, 4 Zn 2.77
Sb  0.2500  0.2500  0.2500  4 Nb 2.77, 4 Fe 2.77
Sb  0.2500  0.7500  0.7500  4 Nb 2.77, 4 Fe 2.77
Sb  0.7500  0.2500  0.7500  4 Nb 2.77, 4 Fe 2.77
Sb  0.7500  0.7500  0.2500  4 Nb 2.77, 4 Fe 2.77

6.
DFT (GGA-PBE) results for a relaxed NbZnFeSb crystal.

Computed properties:
symmetry: F-43m
crystal system: cubic

a b c (Å): 6.4184 6.4184 6.4184
angles (deg): 90.00 90.00 90.00
Last column: nearest neighbours and their distance in Å.
Element x y z (fractional)
Nb  0.0000  0.0000  0.0000  4 Fe 2.78, 4 Zn 2.78
Nb  0.0000  0.5000  0.5000  4 Fe 2.78, 4 Zn 2.78
Nb  0.5000  0.0000  0.5000  4 Fe 2.78, 4 Zn 2.78
Nb  0.5000  0.5000  0.0000  4 Fe 2.78, 4 Zn 2.78
Zn  0.2500  0.2500  0.2500  4 Nb 2.78, 4 Sb 2.78
Zn  0.2500  0.7500  0.7500  4 Nb 2.78, 4 Sb 2.78
Zn  0.7500  0.2500  0.7500  4 Nb 2.78, 4 Sb 2.78
Zn  0.7500  0.7500  0.2500  4 Nb 2.78, 4 Sb 2.78
Fe  0.2500  0.2500  0.7500  4 Nb 2.78, 4 Sb 2.78
Fe  0.2500  0.7500  0.2500  4 Nb 2.78, 4 Sb 2.78
Fe  0.7500  0.2500  0.2500  4 Nb 2.78, 4 Sb 2.78
Fe  0.7500  0.7500  0.7500  4 Nb 2.78, 4 Sb 2.78
Sb  0.0000  0.0000  0.5000  4 Zn 2.78, 4 Fe 2.78
Sb  0.0000  0.5000  0.0000  4 Zn 2.78, 4 Fe 2.78
Sb  0.5000  0.0000  0.0000  4 Zn 2.78, 4 Fe 2.78
Sb  0.5000  0.5000  0.5000  4 Fe 2.78, 4 Zn 2.78

7.
DFT (GGA-PBE) results for a relaxed ScNbFe2 crystal.

Computed properties:
symmetry: F-43m
crystal system: cubic
energy of formation: 0.1393 eV per atom

a b c (Å): 6.1875 6.1875 6.1875
angles (deg): 90.00 90.00 90.00
Last column: nearest neighbours and their distance in Å.
Element x y z (fractional)
Sc  0.0000  0.0000  0.0000  4 Fe 2.68, 4 Nb 2.68
Sc  0.0000  0.5000  0.5000  4 Fe 2.68, 4 Nb 2.68
Sc  0.5000  0.0000  0.5000  4 Fe 2.68, 4 Nb 2.68
Sc  0.5000  0.5000  0.0000  4 Fe 2.68, 4 Nb 2.68
Nb  0.2500  0.2500  0.2500  4 Fe 2.68, 4 Sc 2.68
Nb  0.2500  0.7500  0.7500  4 Fe 2.68, 4 Sc 2.68
Nb  0.7500  0.2500  0.7500  4 Fe 2.68, 4 Sc 2.68
Nb  0.7500  0.7500  0.2500  4 Fe 2.68, 4 Sc 2.68
Fe  0.0000  0.0000  0.5000  4 Nb 2.68, 4 Fe 2.68
Fe  0.0000  0.5000  0.0000  4 Nb 2.68, 4 Fe 2.68
Fe  0.2500  0.2500  0.7500  4 Fe 2.68, 4 Sc 2.68
Fe  0.2500  0.7500  0.2500  4 Fe 2.68, 4 Sc 2.68
Fe  0.5000  0.0000  0.0000  4 Nb 2.68, 4 Fe 2.68
Fe  0.5000  0.5000  0.5000  4 Nb 2.68, 4 Fe 2.68
Fe  0.7500  0.2500  0.2500  4 Fe 2.68, 4 Sc 2.68
Fe  0.7500  0.7500  0.7500  4 Sc 2.68, 4 Fe 2.68

8.
DFT (GGA-PBE) results for a relaxed ScNbFeSi crystal.

Computed properties:
symmetry: F-43m
crystal system: cubic

a b c (Å): 6.1934 6.1934 6.1934
angles (deg): 90.00 90.00 90.00
Last column: nearest neighbours and their distance in Å.
Element x y z (fractional)
Sc  0.0000  0.0000  0.0000  4 Si 2.68, 4 Nb 2.68
Sc  0.0000  0.5000  0.5000  4 Si 2.68, 4 Nb 2.68
Sc  0.5000  0.0000  0.5000  4 Si 2.68, 4 Nb 2.68
Sc  0.5000  0.5000  0.0000  4 Si 2.68, 4 Nb 2.68
Nb  0.2500  0.2500  0.7500  4 Fe 2.68, 4 Sc 2.68
Nb  0.2500  0.7500  0.2500  4 Sc 2.68, 4 Fe 2.68
Nb  0.7500  0.2500  0.2500  4 Sc 2.68, 4 Fe 2.68
Nb  0.7500  0.7500  0.7500  4 Fe 2.68, 4 Sc 2.68
Fe  0.0000  0.0000  0.5000  4 Nb 2.68, 4 Si 2.68
Fe  0.0000  0.5000  0.0000  4 Nb 2.68, 4 Si 2.68
Fe  0.5000  0.0000  0.0000  4 Nb 2.68, 4 Si 2.68
Fe  0.5000  0.5000  0.5000  4 Nb 2.68, 4 Si 2.68
Si  0.2500  0.2500  0.2500  4 Fe 2.68, 4 Sc 2.68
Si  0.2500  0.7500  0.7500  4 Fe 2.68, 4 Sc 2.68
Si  0.7500  0.2500  0.7500  4 Fe 2.68, 4 Sc 2.68
Si  0.7500  0.7500  0.2500  4 Fe 2.68, 4 Sc 2.68

Size of the total moment readings, ordered: 10.9 11.6 3.7 0.0 9.7 0.9 13.4 0.1 μB per cell
Electronic total energy readings, ordered: -6.154 -7.124 -8.234 -8.570 -5.688 -5.657 -8.121 -7.562 eV/atom